Record 1
Material: TmScGa2Ir4
Method: DFT, PBE
State: relaxed

Summary:
Energy = -7.145 eV/atom
SG = P-6m2

abc: 4.2929 4.2929 8.7370
angles: 90.00 90.00 120.00
Positions (direct):
1 Ir 0.0000 0.0000 0.6719
2 Ir 0.3333 0.6667 0.1521
3 Ir 0.3333 0.6667 0.8479
4 Ir 0.0000 0.0000 0.3281
5 Sc 0.0000 0.0000 0.0000
6 Ga 0.6667 0.3333 0.7591
7 Ga 0.6667 0.3333 0.2409
8 Tm 0.3333 0.6667 0.5000

Record 2
Material: Li4NiPdPb2
Method: DFT, PBE
State: relaxed

Summary:
Energy = -3.541 eV/atom
SG = P-4m2

abc: 4.4973 4.4973 6.3930
angles: 90.00 90.00 90.00
Positions (direct):
1 Li 0.0000 0.0000 0.5000
2 Li 0.5000 0.0000 0.2477
3 Li 0.5000 0.5000 0.0000
4 Li 0.0000 0.5000 0.7523
5 Pb 0.0000 0.5000 0.2340
6 Pb 0.5000 0.0000 0.7660
7 Ni 0.0000 0.0000 0.0000
8 Pd 0.5000 0.5000 0.5000

Record 3
Material: Zr4ZnAuN2
Method: DFT, PBE
State: relaxed

Summary:
Energy = -7.922 eV/atom
SG = P-6m2

abc: 3.2962 3.2962 14.0661
angles: 90.00 90.00 120.00
Positions (direct):
1 Zr 0.6667 0.3333 0.6597
2 Zr 0.0000 0.0000 0.8373
3 Zr 0.0000 0.0000 0.1627
4 Zr 0.6667 0.3333 0.3403
5 Zn 0.0000 0.0000 0.5000
6 Au 0.6667 0.3333 0.0000
7 N 0.3333 0.6667 0.7480
8 N 0.3333 0.6667 0.2520

Record 4
Material: Hf31NbO64
Method: DFT, PBE
State: relaxed

Summary:
E above lowest polymorph = 2.778 eV per formula unit
SG = P1

abc: 10.0189 10.0701 10.4443
angles: 90.02 90.01 90.02
Site moments in Bohr magnetons follow the coordinates.
Positions (direct):
1 O 0.3392 0.8058 0.8087  0.00
2 O 0.9112 0.8059 0.5589  0.00
3 O 0.9114 0.5554 0.9406  0.00
4 O 0.6044 0.7493 0.7422  0.00
5 O 0.9112 0.3058 0.5592  0.00
6 O 0.6457 0.7495 0.9925  0.00
7 O 0.1454 0.7497 0.9920  0.00
8 O 0.6457 0.4997 0.0073  0.00
9 O 0.6446 0.2500 0.9925  0.00
10 O 0.8390 0.8056 0.8091  0.00
11 O 0.4109 0.0548 0.9409  0.00
12 O 0.6456 0.7494 0.4921  0.00
13 O 0.6046 0.9995 0.7576  0.00
14 O 0.9111 0.5559 0.4406  0.00
15 O 0.1047 0.9996 0.7575  0.00
16 O 0.1472 0.5002 0.0064  0.01
17 O 0.9111 0.8056 0.0590  0.00
18 O 0.1045 0.7498 0.7422  0.00
19 O 0.6040 0.4996 0.2570  0.00
20 O 0.4109 0.5551 0.4403  0.00
21 O 0.6457 0.4993 0.5070  0.00
22 O 0.6456 0.9998 0.0076  0.00
23 O 0.3392 0.0556 0.6908  0.00
24 O 0.6049 0.9995 0.2575  0.00
25 O 0.3394 0.8039 0.3086  0.00
26 O 0.8395 0.0558 0.1908  0.00
27 O 0.4109 0.3053 0.5583  0.00
28 O 0.8387 0.5560 0.6904  0.00
29 O 0.6045 0.4994 0.7571  0.00
30 O 0.6045 0.7495 0.2421  0.00
31 O 0.6043 0.2496 0.2424  0.00
32 O 0.6457 0.9994 0.5074  0.00
33 O 0.3391 0.3055 0.8081  0.00
34 O 0.1455 0.4995 0.5072  0.00
35 O 0.1455 0.7495 0.4922  0.00
36 O 0.3379 0.5535 0.1905  -0.01
37 O 0.3388 0.3047 0.3088  0.00
38 O 0.9113 0.0560 0.4409  0.00
39 O 0.1457 0.9995 0.5074  0.00
40 O 0.4118 0.5564 0.9401  0.00
41 O 0.9108 0.3053 0.0588  0.00
42 O 0.8390 0.3059 0.3090  0.00
43 O 0.1043 0.4996 0.7571  0.00
44 O 0.8392 0.3060 0.8092  0.00
45 O 0.8391 0.0558 0.6910  0.00
46 O 0.1043 0.7499 0.2423  0.00
47 O 0.1043 0.2495 0.7429  0.00
48 O 0.4107 0.8047 0.0588  0.00
49 O 0.1456 0.2494 0.4927  0.00
50 O 0.6459 0.2494 0.4925  0.00
51 O 0.9112 0.0560 0.9408  0.00
52 O 0.4089 0.3047 0.0579  0.01
53 O 0.3391 0.5554 0.6903  0.00
54 O 0.1457 0.9997 0.0075  0.00
55 O 0.6045 0.2495 0.7424  0.00
56 O 0.4109 0.8052 0.5586  0.00
57 O 0.8388 0.8060 0.3091  0.00
58 O 0.8386 0.5560 0.1903  0.00
59 O 0.1048 0.2503 0.2433  0.00
60 O 0.3400 0.0535 0.1916  0.00
61 O 0.1026 0.5005 0.2569  0.01
62 O 0.4112 0.0552 0.4409  0.00
63 O 0.1045 0.0000 0.2573  0.00
64 O 0.1467 0.2497 0.9930  0.00
65 Hf 0.7414 0.1241 0.3583  0.00
66 Hf 0.5090 0.8740 0.8915  0.00
67 Hf 0.7412 0.8742 0.6414  0.00
68 Hf 0.2412 0.3739 0.6413  0.00
69 Hf 0.0086 0.3743 0.3920  0.00
70 Hf 0.0091 0.6239 0.1080  0.01
71 Hf 0.7412 0.3741 0.6417  0.00
72 Hf 0.5083 0.1243 0.1085  0.01
73 Hf 0.0089 0.8744 0.8914  0.00
74 Hf 0.2416 0.1240 0.3583  0.01
75 Hf 0.7412 0.6241 0.8582  0.00
76 Hf 0.2407 0.6240 0.3586  0.01
77 Hf 0.0088 0.8744 0.3913  0.00
78 Hf 0.7412 0.6243 0.3580  0.00
79 Hf 0.0097 0.3742 0.8920  0.00
80 Hf 0.0088 0.6243 0.6084  0.00
81 Hf 0.5090 0.6241 0.1079  0.00
82 Hf 0.2414 0.6244 0.8579  0.01
83 Hf 0.5090 0.6240 0.6080  0.00
84 Hf 0.5095 0.3741 0.3912  0.00
85 Hf 0.0090 0.1241 0.6086  0.00
86 Hf 0.2415 0.8743 0.6413  0.00
87 Hf 0.7411 0.1246 0.8586  0.00
88 Hf 0.2412 0.8739 0.1413  0.00
89 Hf 0.5090 0.8740 0.3911  0.00
90 Hf 0.7413 0.8744 0.1413  0.00
91 Hf 0.7412 0.3742 0.1412  0.00
92 Hf 0.0092 0.1248 0.1081  0.00
93 Hf 0.5081 0.3745 0.8914  0.01
94 Hf 0.5091 0.1241 0.6083  0.00
95 Hf 0.2416 0.1242 0.8586  0.01
96 Nb 0.2406 0.3750 0.1434  0.80

Record 5
Material: NaGaFeTe
Method: DFT, PBE
State: relaxed

Summary:
E above lowest polymorph = 0.862 eV per formula unit
SG = F-43m

abc: 5.0160 5.0160 5.0160
angles: 60.00 60.00 60.00
Positions (direct):
1 Te 0.5000 0.5000 0.5000
2 Na 0.7500 0.7500 0.7500
3 Ga 0.2500 0.2500 0.2500
4 Fe 0.0000 0.0000 0.0000

Record 6
Material: BeTlAu
Method: DFT, PBE
State: relaxed

Summary:
E above lowest polymorph = 0.000 eV per formula unit
SG = F-43m

abc: 4.4502 4.4502 4.4502
angles: 60.00 60.00 60.00
Positions (direct):
1 Au 0.0000 0.0000 0.0000
2 Tl 0.7500 0.7500 0.7500
3 Be 0.2500 0.2500 0.2500

no.,V (Å³/f.u.)
1,139.4
2,129.3
3,132.4
4,1053.7
5,89.2
6,62.3